# RbSi2Pt5 PBE relaxed
# Formation energy without anion corrections, eV/atom: -0.5167
data_RbSi2Pt5
_space_group_name_H-M_alt 'I m m m'
_space_group_IT_number 71
_space_group_name_Hall '-I 2 2'
_cell_length_a 3.9178
_cell_length_b 7.1362
_cell_length_c 10.3011
_cell_angle_alpha 90.00
_cell_angle_beta 90.00
_cell_angle_gamma 90.00
loop_
_atom_site_label
_atom_site_fract_x
_atom_site_fract_y
_atom_site_fract_z
Rb1 0.0000 0.0000 0.0000
Si1 0.0000 0.5000 0.2345
Pt1 0.0000 0.1939 0.3403
Pt2 0.0000 0.5000 0.0000

# Rb2Si2Pt3 PBE relaxed
# Formation energy without anion corrections, eV/atom: -0.4565
data_Rb2Si2Pt3
_space_group_name_H-M_alt 'C 1 2/m 1'
_space_group_IT_number 12
_cell_length_a 13.1442
_cell_length_b 4.0379
_cell_length_c 8.1825
_cell_angle_alpha 90.00
_cell_angle_beta 127.03
_cell_angle_gamma 90.00
loop_
_space_group_symop_operation_xyz
'x,y,z'
'-x,-y,-z'
'-x,y,-z'
'x,-y,z'
'x+1/2,y+1/2,z'
'-x+1/2,-y+1/2,-z'
'-x+1/2,y+1/2,-z'
'x+1/2,-y+1/2,z'
loop_
_atom_site_label
_atom_site_fract_x
_atom_site_fract_y
_atom_site_fract_z
Rb1 0.1442 0.0000 0.2556
Si1 0.1144 0.0000 0.7359
Pt1 0.0000 0.5000 0.5000
Pt2 0.1626 0.5000 0.9193

# Rb2Si12Pt7 PBE relaxed
# Formation energy without anion corrections, eV/atom: -0.3267
data_Rb2Si12Pt7
_space_group_name_H-M_alt 'P -3'
_space_group_IT_number 147
_cell_length_a 10.1052
_cell_length_b 10.1052
_cell_length_c 4.1187
_cell_angle_alpha 90.00
_cell_angle_beta 90.00
_cell_angle_gamma 120.00
loop_
_space_group_symop_operation_xyz
'x,y,z'
'-x,-y,-z'
'-y,x-y,z'
'y,-x+y,-z'
'-x+y,-x,z'
'x-y,x,-z'
loop_
_atom_site_label
_atom_site_fract_x
_atom_site_fract_y
_atom_site_fract_z
Rb1 0.3333 0.6667 0.2473
Si1 0.0695 0.6304 0.7675
Si2 0.1313 0.2627 0.2312
Pt1 0.0000 0.0000 0.0000
Pt2 0.0860 0.3871 0.7217

# Rb2Si7Pt12 PBE relaxed
# Formation energy without anion corrections, eV/atom: -0.5444
data_Rb2Si7Pt12
_space_group_name_H-M_alt 'P -3'
_space_group_IT_number 147
_cell_length_a 10.1129
_cell_length_b 10.1129
_cell_length_c 3.9660
_cell_angle_alpha 90.00
_cell_angle_beta 90.00
_cell_angle_gamma 120.00
loop_
_space_group_symop_operation_xyz
'x,y,z'
'-x,-y,-z'
'-y,x-y,z'
'y,-x+y,-z'
'-x+y,-x,z'
'x-y,x,-z'
loop_
_atom_site_label
_atom_site_fract_x
_atom_site_fract_y
_atom_site_fract_z
Rb1 0.3333 0.6667 0.2519
Si1 0.0000 0.0000 0.0000
Si2 0.1106 0.3994 0.7514
Pt1 0.0583 0.6184 0.7521
Pt2 0.1107 0.8551 0.2571

# Rb3SiPt PBE relaxed
# Formation energy without anion corrections, eV/atom: 0.4999
data_Rb3SiPt
_space_group_name_H-M_alt 'P m -3 m'
_space_group_IT_number 221
_space_group_name_Hall '-P 4 2 3'
_cell_length_a 6.3779
_cell_length_b 6.3779
_cell_length_c 6.3779
_cell_angle_alpha 90.00
_cell_angle_beta 90.00
_cell_angle_gamma 90.00
loop_
_atom_site_label
_atom_site_fract_x
_atom_site_fract_y
_atom_site_fract_z
Rb1 0.0000 0.0000 0.5000
Si1 0.5000 0.5000 0.5000
Pt1 0.0000 0.0000 0.0000

# RbSi3Pt3 PBE relaxed
# Formation energy without anion corrections, eV/atom: -0.5190
data_RbSi3Pt3
_space_group_name_H-M_alt 'P m -3 n'
_space_group_IT_number 223
_space_group_name_Hall '-P 4n 2 3'
_cell_length_a 6.7518
_cell_length_b 6.7518
_cell_length_c 6.7518
_cell_angle_alpha 90.00
_cell_angle_beta 90.00
_cell_angle_gamma 90.00
loop_
_atom_site_label
_atom_site_fract_x
_atom_site_fract_y
_atom_site_fract_z
Rb1 0.0000 0.0000 0.0000
Si1 0.0000 0.2500 0.5000
Pt1 0.0000 0.5000 0.2500

# RbSi3Pt5 PBE relaxed
# Formation energy without anion corrections, eV/atom: -0.5950
data_RbSi3Pt5
_space_group_name_H-M_alt 'C m c m'
_space_group_IT_number 63
_space_group_name_Hall '-C 2c 2'
_cell_length_a 3.9578
_cell_length_b 12.8678
_cell_length_c 12.8762
_cell_angle_alpha 90.00
_cell_angle_beta 90.00
_cell_angle_gamma 90.00
loop_
_atom_site_label
_atom_site_fract_x
_atom_site_fract_y
_atom_site_fract_z
Rb1 0.0000 0.1617 0.2500
Si1 0.0000 0.1064 0.7500
Si2 0.0000 0.3833 0.5359
Pt1 0.0000 0.0000 0.0000
Pt2 0.0000 0.2038 0.5681
Pt3 0.0000 0.4459 0.1434

# RbSmPt10 PBE relaxed
# Energy relative to the elements, kcal/mol of atoms: -8.70
data_RbSmPt10
_space_group_name_H-M_alt 'P m m m'
_space_group_IT_number 47
_cell_length_a 4.3863
_cell_length_b 5.5239
_cell_length_c 9.4766
_cell_angle_alpha 90.00
_cell_angle_beta 90.00
_cell_angle_gamma 90.00
loop_
_space_group_symop_operation_xyz
'x,y,z'
'-x,-y,-z'
'-x,-y,z'
'x,y,-z'
'x,-y,-z'
'-x,y,z'
'-x,y,-z'
'x,-y,z'
loop_
_atom_site_label
_atom_site_fract_x
_atom_site_fract_y
_atom_site_fract_z
Rb1 0.0000 0.0000 0.0000
Sm1 0.0000 0.5000 0.5000
Pt1 0.0000 0.0000 0.3391
Pt2 0.0000 0.5000 0.1740
Pt3 0.5000 0.0000 0.5000
Pt4 0.5000 0.2549 0.2588
Pt5 0.5000 0.5000 0.0000